Arrangement w

This record from Alexandria via LeMat-Bulk describes a relaxed structure of PmTmThCd. The functional is PBE.

Properties
DOS at the Fermi energy (states/eV/cell): 7.61
Space-group type: No. 216

abc: 5.488 5.488 5.488
angles: 60.00 60.00 60.00
Atoms (fractional coordinates):
Pm 0.000 0.000 0.000
Tm 0.250 0.250 0.250
Th 0.750 0.750 0.750
Cd 0.500 0.500 0.500

Arrangement x

This record from Alexandria via LeMat-Bulk describes a relaxed structure of PmTmThCd. The functional is PBE.

Properties
DOS at the Fermi energy (states/eV/cell): 4.30
Space-group type: No. 99

abc: 3.618 3.618 8.904
angles: 90.00 90.00 90.00
Atoms (fractional coordinates):
Pm 0.000 0.000 0.000
Tm 0.000 0.000 0.463
Th 0.500 0.500 0.725
Cd 0.500 0.500 0.245

arrangement x (246 meV/atom below the next structure)

Arrangement w

This record from Alexandria via LeMat-Bulk describes a relaxed structure of PmYThCd. The functional is PBE.

Properties
DOS at the Fermi energy (states/eV/cell): 7.33
Space-group type: No. 216

abc: 5.524 5.524 5.524
angles: 60.00 60.00 60.00
Atoms (fractional coordinates):
Pm 0.000 0.000 0.000
Y 0.750 0.750 0.750
Th 0.250 0.250 0.250
Cd 0.500 0.500 0.500

Arrangement x

This record from Alexandria via LeMat-Bulk describes a relaxed structure of PmYThCd. The functional is PBE.

Properties
DOS at the Fermi energy (states/eV/cell): 4.17
Space-group type: No. 99

abc: 3.637 3.637 8.994
angles: 90.00 90.00 90.00
Atoms (fractional coordinates):
Pm 0.000 0.000 0.000
Y 0.000 0.000 0.464
Th 0.500 0.500 0.729
Cd 0.500 0.500 0.240

arrangement x (236 meV/atom below the next structure)

Arrangement w

This record from Alexandria via LeMat-Bulk describes a relaxed structure of Pm2TlCd6. The functional is PBE.

Properties
DOS at the Fermi energy (states/eV/cell): 6.72
Space-group type: No. 191

abc: 8.856 8.856 3.408
angles: 90.00 90.00 120.00
Atoms (fractional coordinates):
Pm 0.333 0.667 0.000
Pm 0.667 0.333 0.000
Tl 0.000 0.000 0.000
Cd 0.000 0.333 0.500
Cd 0.000 0.667 0.500
Cd 0.333 0.000 0.500
Cd 0.333 0.333 0.500
Cd 0.667 0.000 0.500
Cd 0.667 0.667 0.500

Arrangement x

This record from Alexandria via LeMat-Bulk describes a relaxed structure of Pm2TlCd6. The functional is PBE.

Properties
DOS at the Fermi energy (states/eV/cell): 7.00
Space-group type: No. 164

abc: 6.513 6.513 6.215
angles: 90.00 90.00 120.00
Atoms (fractional coordinates):
Pm 0.333 0.667 0.164
Pm 0.667 0.333 0.836
Tl 0.000 0.000 0.000
Cd 0.183 0.366 0.666
Cd 0.183 0.817 0.666
Cd 0.366 0.183 0.334
Cd 0.634 0.817 0.666
Cd 0.817 0.183 0.334
Cd 0.817 0.634 0.334

arrangement w (19 meV/atom below the next structure)

Arrangement w

This record from Alexandria via LeMat-Bulk describes a relaxed structure of Pm4TlCd. The functional is PBE.

Properties
DOS at the Fermi energy (states/eV/cell): 10.40
Space-group type: No. 12

abc: 5.288 5.288 9.160
angles: 106.95 106.95 59.93
Atoms (fractional coordinates):
Pm 0.123 0.123 0.371
Pm 0.373 0.373 0.120
Pm 0.627 0.627 0.880
Pm 0.877 0.877 0.629
Tl 0.500 0.500 0.500
Cd 0.000 0.000 0.000

Arrangement x

This record from Alexandria via LeMat-Bulk describes a relaxed structure of Pm4TlCd. The functional is PBE.

Properties
DOS at the Fermi energy (states/eV/cell): 6.98
Space-group type: No. 12

abc: 6.187 6.187 9.059
angles: 111.44 111.44 34.08
Atoms (fractional coordinates):
Pm 0.150 0.150 0.328
Pm 0.152 0.152 0.823
Pm 0.848 0.848 0.177
Pm 0.850 0.850 0.672
Tl 0.500 0.500 0.000
Cd 0.500 0.500 0.500

arrangement x (193 meV/atom below the next structure)

Arrangement w

This record from Alexandria via LeMat-Bulk describes a relaxed structure of Pm6TlCd. The functional is PBE.

Properties
DOS at the Fermi energy (states/eV/cell): 12.11
Space-group type: No. 123

abc: 4.962 4.962 9.890
angles: 90.00 90.00 90.00
Atoms (fractional coordinates):
Pm 0.000 0.000 0.000
Pm 0.000 0.000 0.500
Pm 0.000 0.500 0.249
Pm 0.000 0.500 0.751
Pm 0.500 0.000 0.249
Pm 0.500 0.000 0.751
Tl 0.500 0.500 0.500
Cd 0.500 0.500 0.000

Arrangement x

This record from Alexandria via LeMat-Bulk describes a relaxed structure of Pm6TlCd. The functional is PBE.

Properties
DOS at the Fermi energy (states/eV/cell): 8.69
Space-group type: No. 139

abc: 10.025 10.025 10.025
angles: 149.92 149.92 43.07
Atoms (fractional coordinates):
Pm 0.113 0.613 0.500
Pm 0.249 0.249 0.000
Pm 0.387 0.887 0.500
Pm 0.613 0.113 0.500
Pm 0.751 0.751 0.000
Pm 0.887 0.387 0.500
Tl 0.500 0.500 0.000
Cd 0.000 0.000 0.000

arrangement x (11 meV/atom below the next structure)

Arrangement w

This record from Alexandria via LeMat-Bulk describes a relaxed structure of PmTl2Cd2. The functional is PBE.

Properties
DOS at the Fermi energy (states/eV/cell): 1.92
Space-group type: No. 139

abc: 7.288 7.288 7.288
angles: 143.57 143.57 52.48
Atoms (fractional coordinates):
Pm 0.000 0.000 0.000
Tl 0.392 0.392 0.000
Tl 0.608 0.608 0.000
Cd 0.250 0.750 0.500
Cd 0.750 0.250 0.500

Arrangement x

This record from Alexandria via LeMat-Bulk describes a relaxed structure of PmTl2Cd2. The functional is PBE.

Properties
DOS at the Fermi energy (states/eV/cell): 6.94
Space-group type: No. 63

abc: 12.105 12.105 4.692
angles: 90.00 90.00 157.62
Atoms (fractional coordinates):
Pm 0.143 0.857 0.750
Pm 0.857 0.143 0.250
Tl 0.250 0.750 0.250
Tl 0.361 0.639 0.750
Tl 0.639 0.361 0.250
Tl 0.750 0.250 0.750
Cd 0.041 0.959 0.250
Cd 0.455 0.545 0.250
Cd 0.545 0.455 0.750
Cd 0.959 0.041 0.750

arrangement x (138 meV/atom below the next structure)

Arrangement w

This record from Alexandria via LeMat-Bulk describes a relaxed structure of Pm5TlCd2. The functional is PBE.

Properties
DOS at the Fermi energy (states/eV/cell): 20.52
Space-group type: No. 55

abc: 6.763 13.147 5.461
angles: 90.00 90.00 90.00
Atoms (fractional coordinates):
Pm 0.000 0.000 0.000
Pm 0.143 0.383 0.500
Pm 0.171 0.724 0.000
Pm 0.329 0.224 0.000
Pm 0.357 0.883 0.500
Pm 0.500 0.500 0.000
Pm 0.643 0.117 0.500
Pm 0.671 0.776 0.000
Pm 0.829 0.276 0.000
Pm 0.857 0.617 0.500
Tl 0.000 0.500 0.000
Tl 0.500 0.000 0.000
Cd 0.121 0.132 0.500
Cd 0.379 0.632 0.500
Cd 0.621 0.368 0.500
Cd 0.879 0.868 0.500

Arrangement x

This record from Alexandria via LeMat-Bulk describes a relaxed structure of Pm5TlCd2. The functional is PBE.

Properties
DOS at the Fermi energy (states/eV/cell): 18.24
Space-group type: No. 140

abc: 9.615 9.615 9.615
angles: 131.09 131.09 71.67
Atoms (fractional coordinates):
Pm 0.000 0.000 0.000
Pm 0.008 0.508 0.826
Pm 0.182 0.008 0.500
Pm 0.318 0.818 0.826
Pm 0.492 0.318 0.500
Pm 0.500 0.500 0.000
Pm 0.508 0.682 0.500
Pm 0.682 0.182 0.174
Pm 0.818 0.992 0.500
Pm 0.992 0.492 0.174
Tl 0.250 0.250 0.000
Tl 0.750 0.750 0.000
Cd 0.128 0.372 0.500
Cd 0.372 0.872 0.244
Cd 0.628 0.128 0.756
Cd 0.872 0.628 0.500

arrangement w (10 meV/atom below the next structure)

Arrangement w

This record from Alexandria via LeMat-Bulk describes a relaxed structure of Pm2TlCd2. The functional is PBE.

Properties
DOS at the Fermi energy (states/eV/cell): 3.56
Space-group type: No. 12

abc: 5.244 5.244 7.011
angles: 116.82 116.82 56.31
Atoms (fractional coordinates):
Pm 0.098 0.098 0.292
Pm 0.902 0.902 0.708
Tl 0.500 0.500 0.500
Cd 0.313 0.313 0.939
Cd 0.687 0.687 0.061

Arrangement x

This record from Alexandria via LeMat-Bulk describes a relaxed structure of Pm2TlCd2. The functional is PBE.

Properties
DOS at the Fermi energy (states/eV/cell): 9.43
Space-group type: No. 12

abc: 6.246 6.246 10.059
angles: 107.78 107.78 47.94
Atoms (fractional coordinates):
Pm 0.051 0.051 0.349
Pm 0.171 0.171 0.066
Pm 0.829 0.829 0.934
Pm 0.949 0.949 0.651
Tl 0.255 0.255 0.703
Tl 0.745 0.745 0.297
Cd 0.370 0.370 0.418
Cd 0.475 0.475 0.134
Cd 0.525 0.525 0.866
Cd 0.630 0.630 0.582

arrangement w (12 meV/atom below the next structure)

Arrangement w

This record from Alexandria via LeMat-Bulk describes a relaxed structure of Pm3TlCd. The functional is PBE.

Properties
DOS at the Fermi energy (states/eV/cell): 11.76
Space-group type: No. 63

abc: 10.840 10.840 5.352
angles: 90.00 90.00 151.42
Atoms (fractional coordinates):
Pm 0.059 0.941 0.750
Pm 0.250 0.750 0.750
Pm 0.440 0.560 0.750
Pm 0.560 0.440 0.250
Pm 0.750 0.250 0.250
Pm 0.941 0.059 0.250
Tl 0.346 0.654 0.250
Tl 0.654 0.346 0.750
Cd 0.153 0.847 0.250
Cd 0.847 0.153 0.750

Arrangement x

This record from Alexandria via LeMat-Bulk describes a relaxed structure of Pm3TlCd. The functional is PBE.

Properties
DOS at the Fermi energy (states/eV/cell): 7.88
Space-group type: No. 11

abc: 5.694 5.601 9.607
angles: 90.00 105.96 90.00
Atoms (fractional coordinates):
Pm 0.102 0.250 0.064
Pm 0.131 0.750 0.321
Pm 0.338 0.750 0.721
Pm 0.662 0.250 0.279
Pm 0.869 0.250 0.679
Pm 0.898 0.750 0.936
Tl 0.275 0.250 0.491
Tl 0.725 0.750 0.509
Cd 0.484 0.750 0.098
Cd 0.516 0.250 0.902

arrangement w (58 meV/atom below the next structure)

Arrangement w

This record from Alexandria via LeMat-Bulk describes a relaxed structure of Pm6TlCd5. The functional is PBE.

Properties
DOS at the Fermi energy (states/eV/cell): 14.18
Space-group type: No. 65

abc: 8.574 8.574 7.722
angles: 90.00 90.00 143.20
Atoms (fractional coordinates):
Pm 0.000 0.000 0.249
Pm 0.000 0.000 0.751
Pm 0.333 0.667 0.248
Pm 0.333 0.667 0.752
Pm 0.667 0.333 0.248
Pm 0.667 0.333 0.752
Tl 0.500 0.500 0.500
Cd 0.167 0.833 0.000
Cd 0.169 0.831 0.500
Cd 0.500 0.500 0.000
Cd 0.831 0.169 0.500
Cd 0.833 0.167 0.000

Arrangement x

This record from Alexandria via LeMat-Bulk describes a relaxed structure of Pm6TlCd5. The functional is PBE.

Properties
DOS at the Fermi energy (states/eV/cell): 12.74
Space-group type: No. 12

abc: 6.474 6.474 10.302
angles: 96.02 96.02 120.82
Atoms (fractional coordinates):
Pm 0.072 0.411 0.742
Pm 0.229 0.229 0.234
Pm 0.411 0.072 0.742
Pm 0.589 0.928 0.258
Pm 0.771 0.771 0.766
Pm 0.928 0.589 0.258
Tl 0.500 0.500 0.000
Cd 0.000 0.000 0.500
Cd 0.187 0.813 0.000
Cd 0.357 0.643 0.500
Cd 0.643 0.357 0.500
Cd 0.813 0.187 0.000

arrangement w (174 meV/atom below the next structure)

Arrangement w

This record from Alexandria via LeMat-Bulk describes a relaxed structure of PmTmCd4. The functional is PBE.

Properties
DOS at the Fermi energy (states/eV/cell): 4.38
Space-group type: No. 47

abc: 3.423 5.006 8.667
angles: 90.00 90.00 90.00
Atoms (fractional coordinates):
Pm 0.000 0.000 0.000
Tm 0.000 0.500 0.500
Cd 0.500 0.000 0.337
Cd 0.500 0.000 0.663
Cd 0.500 0.500 0.172
Cd 0.500 0.500 0.828

Arrangement x

This record from Alexandria via LeMat-Bulk describes a relaxed structure of PmTmCd4. The functional is PBE.

Properties
DOS at the Fermi energy (states/eV/cell): 4.48
Space-group type: No. 216

abc: 5.927 5.927 5.927
angles: 60.00 60.00 60.00
Atoms (fractional coordinates):
Pm 0.000 0.000 0.000
Tm 0.750 0.750 0.750
Cd 0.375 0.375 0.375
Cd 0.375 0.375 0.875
Cd 0.375 0.875 0.375
Cd 0.875 0.375 0.375

arrangement w (61 meV/atom below the next structure)

Arrangement w

This record from Alexandria via LeMat-Bulk describes a relaxed structure of Pm3Tm2Cd2. The functional is PBE.

Properties
DOS at the Fermi energy (states/eV/cell): 7.37
Space-group type: No. 166

abc: 8.610 8.610 8.610
angles: 36.77 36.77 36.77
Atoms (fractional coordinates):
Pm 0.000 0.000 0.000
Pm 0.158 0.158 0.158
Pm 0.842 0.842 0.842
Tm 0.427 0.427 0.427
Tm 0.573 0.573 0.573
Cd 0.290 0.290 0.290
Cd 0.710 0.710 0.710

Arrangement x

This record from Alexandria via LeMat-Bulk describes a relaxed structure of Pm3Tm2Cd2. The functional is PBE.

Properties
DOS at the Fermi energy (states/eV/cell): 7.75
Space-group type: No. 65

abc: 11.738 11.738 3.496
angles: 90.00 90.00 154.74
Atoms (fractional coordinates):
Pm 0.000 0.000 0.000
Pm 0.148 0.852 0.000
Pm 0.852 0.148 0.000
Tm 0.289 0.711 0.500
Tm 0.711 0.289 0.500
Cd 0.430 0.570 0.500
Cd 0.570 0.430 0.500

arrangement w (84 meV/atom below the next structure)